A relaxed AlMoN2O crystal, computed with PBE with a Hubbard U.

Structure (POSCAR):
```
AlMoN2O
1.0
4.009 0.000 0.000
0.000 4.009 0.000
0.000 0.000 3.849
Al Mo N O
1 1 2 1
Direct
0.000 0.000 0.000
0.500 0.500 0.500
0.000 0.500 0.500
0.500 0.000 0.500
0.500 0.500 0.000
```

Uncorrected energy (eV per atom): -6.28
Space-group type: P4/mmm
Total magnetization (μB/atom): 0.000
Fermi-level density of states (states/eV/cell): 2.20